Entry 1:
The following is a GGA-PBE calculation of a geometry-optimized AgTePb2 structure, from the Alexandria database.

Values from the calculation:
electronic total energy: -3.273 eV/atom
energy relative to the elements, uncorrected: 79 meV per atom

The structure in CIF format:
```
data_AgTePb2
_cell_length_a 3.348
_cell_length_b 3.348
_cell_length_c 9.977
_cell_angle_alpha 90.00
_cell_angle_beta 90.00
_cell_angle_gamma 90.00
_space_group_name_H-M_alt 'P 4/m m m'
_space_group_IT_number 123
_space_group_name_Hall '-P 4 2'
loop_
_atom_site_label
_atom_site_fract_x
_atom_site_fract_y
_atom_site_fract_z
Ag1 0.000 0.000 0.000
Te1 0.000 0.000 0.500
Pb1 0.500 0.500 0.207
```


Entry 2:
The following is a GGA-PBE calculation of a geometry-optimized AgTe2Pb2 structure, from the Alexandria database.

Values from the calculation:
offset from the most stable computed form: 0.62 eV per formula unit
electronic total energy: -3.230 eV/atom
energy relative to the elements, uncorrected: 80 meV per atom

The structure in CIF format:
```
data_AgTe2Pb2
_cell_length_a 6.147
_cell_length_b 6.147
_cell_length_c 9.115
_cell_angle_alpha 90.00
_cell_angle_beta 90.00
_cell_angle_gamma 90.00
_space_group_name_H-M_alt 'I 4/m m m'
_space_group_IT_number 139
_space_group_name_Hall '-I 4 2'
loop_
_atom_site_label
_atom_site_fract_x
_atom_site_fract_y
_atom_site_fract_z
Ag1 0.000 0.000 0.000
Te1 0.000 0.500 0.250
Pb1 0.000 0.000 0.325
```


Entry 3:
The following is a GGA-PBE calculation of a geometry-optimized AgTePb2 structure, from the Alexandria database.

Values from the calculation:
electronic total energy: -3.263 eV/atom
energy relative to the elements, uncorrected: 89 meV per atom

The structure in CIF format:
```
data_AgTePb2
_cell_length_a 4.838
_cell_length_b 5.086
_cell_length_c 9.078
_cell_angle_alpha 90.00
_cell_angle_beta 90.00
_cell_angle_gamma 90.00
_space_group_name_H-M_alt 'C m m 2'
_space_group_IT_number 35
loop_
_space_group_symop_operation_xyz
'x,y,z'
'-x,-y,z'
'-x,y,z'
'x,-y,z'
'x+1/2,y+1/2,z'
'-x+1/2,-y+1/2,z'
'-x+1/2,y+1/2,z'
'x+1/2,-y+1/2,z'
loop_
_atom_site_label
_atom_site_fract_x
_atom_site_fract_y
_atom_site_fract_z
Ag1 0.000 0.000 0.000
Te1 0.000 0.500 0.203
Pb1 0.000 0.000 0.491
Pb2 0.000 0.500 0.775
```


Entry 4:
The following is a GGA-PBE calculation of a geometry-optimized AgTe2Pb structure, from the Alexandria database.

Values from the calculation:
electronic total energy: -3.152 eV/atom
energy relative to the elements, uncorrected: 59 meV per atom

The structure in CIF format:
```
data_AgTe2Pb
_cell_length_a 4.477
_cell_length_b 6.517
_cell_length_c 8.177
_cell_angle_alpha 90.00
_cell_angle_beta 90.00
_cell_angle_gamma 90.00
_space_group_name_H-M_alt 'C m m m'
_space_group_IT_number 65
_space_group_name_Hall '-C 2 2'
loop_
_atom_site_label
_atom_site_fract_x
_atom_site_fract_y
_atom_site_fract_z
Ag1 0.000 0.000 0.000
Te1 0.000 0.500 0.225
Pb1 0.000 0.000 0.500
```


Entry 5:
The following is a GGA-PBE calculation of a geometry-optimized AgTe2Pb structure, from the Alexandria database.

Values from the calculation:
electronic total energy: -3.105 eV/atom
energy relative to the elements, uncorrected: 106 meV per atom

The structure in CIF format:
```
data_AgTe2Pb
_cell_length_a 3.5212
_cell_length_b 3.5212
_cell_length_c 32.6966
_cell_angle_alpha 90.00
_cell_angle_beta 90.00
_cell_angle_gamma 120.00
_space_group_name_H-M_alt 'R -3 m'
_space_group_IT_number 166
_space_group_name_Hall '-R 3 2"'
loop_
_atom_site_label
_atom_site_fract_x
_atom_site_fract_y
_atom_site_fract_z
Ag1 0.0000 0.0000 0.0000
Te1 0.0000 0.0000 0.3998
Pb1 0.0000 0.0000 0.5000
```


Entry 6:
The following is a GGA-PBE calculation of a geometry-optimized Ag2Te4Pb3 structure, from the Alexandria database.

Values from the calculation:
electronic total energy: -3.499 eV/atom
energy relative to the elements, uncorrected: -233 meV per atom

The structure in CIF format:
```
data_Ag2Te4Pb3
_cell_length_a 16.269
_cell_length_b 4.432
_cell_length_c 8.308
_cell_angle_alpha 90.00
_cell_angle_beta 112.79
_cell_angle_gamma 90.00
_space_group_name_H-M_alt 'C 1 2/m 1'
_space_group_IT_number 12
loop_
_space_group_symop_operation_xyz
'x,y,z'
'-x,-y,-z'
'-x,y,-z'
'x,-y,z'
'x+1/2,y+1/2,z'
'-x+1/2,-y+1/2,-z'
'-x+1/2,y+1/2,-z'
'x+1/2,-y+1/2,z'
loop_
_atom_site_label
_atom_site_fract_x
_atom_site_fract_y
_atom_site_fract_z
Ag1 0.192 0.000 0.011
Te1 0.020 0.000 0.734
Te2 0.217 0.500 0.250
Pb1 0.000 0.500 0.000
Pb2 0.126 0.500 0.560
```


Entry 7:
The following is a GGA-PBE calculation of a geometry-optimized AgTePb2 structure, from the Alexandria database.

Values from the calculation:
electronic total energy: -3.323 eV/atom
energy relative to the elements, uncorrected: 29 meV per atom

The structure in CIF format:
```
data_AgTePb2
_cell_length_a 6.825
_cell_length_b 8.420
_cell_length_c 3.971
_cell_angle_alpha 90.00
_cell_angle_beta 90.00
_cell_angle_gamma 90.00
_space_group_name_H-M_alt 'C m m m'
_space_group_IT_number 65
_space_group_name_Hall '-C 2 2'
loop_
_atom_site_label
_atom_site_fract_x
_atom_site_fract_y
_atom_site_fract_z
Ag1 0.000 0.000 0.000
Te1 0.000 0.500 0.000
Pb1 0.250 0.250 0.500
```


Entry 8:
The following is a GGA-PBE calculation of a geometry-optimized AgTePb2 structure, from the Alexandria database.

Values from the calculation:
electronic total energy: -3.219 eV/atom
energy relative to the elements, uncorrected: 133 meV per atom

The structure in CIF format:
```
data_AgTePb2
_cell_length_a 7.664
_cell_length_b 7.664
_cell_length_c 7.664
_cell_angle_alpha 90.00
_cell_angle_beta 90.00
_cell_angle_gamma 90.00
_space_group_name_H-M_alt 'F -4 3 m'
_space_group_IT_number 216
_space_group_name_Hall 'F -4 2 3'
loop_
_atom_site_label
_atom_site_fract_x
_atom_site_fract_y
_atom_site_fract_z
Ag1 0.000 0.000 0.000
Te1 0.250 0.250 0.250
Pb1 0.000 0.000 0.500
Pb2 0.250 0.250 0.750
```


Entry 9:
The following is a GGA-PBE calculation of a geometry-optimized AgTePb2 structure, from the Alexandria database.

Values from the calculation:
electronic total energy: -3.314 eV/atom
energy relative to the elements, uncorrected: 38 meV per atom

The structure in CIF format:
```
data_AgTePb2
_cell_length_a 5.368
_cell_length_b 5.368
_cell_length_c 3.955
_cell_angle_alpha 90.00
_cell_angle_beta 90.00
_cell_angle_gamma 90.00
_space_group_name_H-M_alt 'P 4/m m m'
_space_group_IT_number 123
_space_group_name_Hall '-P 4 2'
loop_
_atom_site_label
_atom_site_fract_x
_atom_site_fract_y
_atom_site_fract_z
Ag1 0.000 0.000 0.000
Te1 0.500 0.500 0.000
Pb1 0.000 0.500 0.500
```


Entry 10:
The following is a GGA-PBE calculation of a geometry-optimized AgTe2Pb structure, from the Alexandria database.

Values from the calculation:
electronic total energy: -3.245 eV/atom
energy relative to the elements, uncorrected: -34 meV per atom

The structure in CIF format:
```
data_AgTe2Pb
_cell_length_a 4.445
_cell_length_b 6.149
_cell_length_c 8.586
_cell_angle_alpha 90.00
_cell_angle_beta 90.00
_cell_angle_gamma 90.00
_space_group_name_H-M_alt 'I m m m'
_space_group_IT_number 71
_space_group_name_Hall '-I 2 2'
loop_
_atom_site_label
_atom_site_fract_x
_atom_site_fract_y
_atom_site_fract_z
Ag1 0.000 0.000 0.000
Te1 0.000 0.500 0.295
Pb1 0.000 0.000 0.500
```


Entry 11:
The following is a GGA-PBE calculation of a geometry-optimized AgTe2Pb structure, from the Alexandria database.

Values from the calculation:
electronic total energy: -3.267 eV/atom
energy relative to the elements, uncorrected: -56 meV per atom

The structure in CIF format:
```
data_AgTe2Pb
_cell_length_a 16.420
_cell_length_b 3.924
_cell_length_c 3.933
_cell_angle_alpha 90.00
_cell_angle_beta 103.86
_cell_angle_gamma 90.00
_space_group_name_H-M_alt 'C 1 m 1'
_space_group_IT_number 8
loop_
_space_group_symop_operation_xyz
'x,y,z'
'x,-y,z'
'x+1/2,y+1/2,z'
'x+1/2,-y+1/2,z'
loop_
_atom_site_label
_atom_site_fract_x
_atom_site_fract_y
_atom_site_fract_z
Ag1 0.000 0.000 0.000
Te1 0.126 0.000 0.626
Te2 0.373 0.000 0.874
Pb1 0.250 0.500 0.252
```


Entry 12:
The following is a GGA-PBE calculation of a geometry-optimized AgTe4Pb structure, from the Alexandria database.

Values from the calculation:
electronic total energy: -2.813 eV/atom
energy relative to the elements, uncorrected: 375 meV per atom

The structure in CIF format:
```
data_AgTe4Pb
_cell_length_a 9.058
_cell_length_b 9.058
_cell_length_c 9.058
_cell_angle_alpha 90.00
_cell_angle_beta 90.00
_cell_angle_gamma 90.00
_space_group_name_H-M_alt 'F -4 3 m'
_space_group_IT_number 216
_space_group_name_Hall 'F -4 2 3'
loop_
_atom_site_label
_atom_site_fract_x
_atom_site_fract_y
_atom_site_fract_z
Ag1 0.000 0.000 0.000
Te1 0.125 0.125 0.375
Pb1 0.250 0.250 0.750
```


Entry 13:
The following is a GGA-PBE calculation of a geometry-optimized AgTe2Pb structure, from the Alexandria database.

Values from the calculation:
electronic total energy: -3.309 eV/atom
energy relative to the elements, uncorrected: -98 meV per atom

The structure in CIF format:
```
data_AgTe2Pb
_cell_length_a 15.150
_cell_length_b 3.961
_cell_length_c 4.179
_cell_angle_alpha 90.00
_cell_angle_beta 90.03
_cell_angle_gamma 90.00
_space_group_name_H-M_alt 'C 1 m 1'
_space_group_IT_number 8
loop_
_space_group_symop_operation_xyz
'x,y,z'
'x,-y,z'
'x+1/2,y+1/2,z'
'x+1/2,-y+1/2,z'
loop_
_atom_site_label
_atom_site_fract_x
_atom_site_fract_y
_atom_site_fract_z
Ag1 0.000 0.000 0.000
Te1 0.189 0.000 0.998
Te2 0.459 0.000 0.500
Pb1 0.281 0.500 0.498
```


Entry 14:
The following is a GGA-PBE calculation of a geometry-optimized AgTe2Pb structure, from the Alexandria database.

Values from the calculation:
electronic total energy: -3.171 eV/atom
energy relative to the elements, uncorrected: 39 meV per atom

The structure in CIF format:
```
data_AgTe2Pb
_cell_length_a 3.228
_cell_length_b 4.218
_cell_length_c 8.319
_cell_angle_alpha 90.00
_cell_angle_beta 90.00
_cell_angle_gamma 90.00
_space_group_name_H-M_alt 'P m m m'
_space_group_IT_number 47
loop_
_space_group_symop_operation_xyz
'x,y,z'
'-x,-y,-z'
'-x,-y,z'
'x,y,-z'
'x,-y,-z'
'-x,y,z'
'-x,y,-z'
'x,-y,z'
loop_
_atom_site_label
_atom_site_fract_x
_atom_site_fract_y
_atom_site_fract_z
Ag1 0.000 0.000 0.000
Te1 0.500 0.500 0.231
Pb1 0.000 0.000 0.500
```


Entry 15:
The following is a GGA-PBE calculation of a geometry-optimized Ag4TePb structure, from the Alexandria database.

Values from the calculation:
electronic total energy: -2.977 eV/atom
energy relative to the elements, uncorrected: 66 meV per atom

The structure in CIF format:
```
data_Ag4TePb
_cell_length_a 8.111
_cell_length_b 8.111
_cell_length_c 8.111
_cell_angle_alpha 90.00
_cell_angle_beta 90.00
_cell_angle_gamma 90.00
_space_group_name_H-M_alt 'F -4 3 m'
_space_group_IT_number 216
_space_group_name_Hall 'F -4 2 3'
loop_
_atom_site_label
_atom_site_fract_x
_atom_site_fract_y
_atom_site_fract_z
Ag1 0.125 0.125 0.125
Te1 0.000 0.000 0.500
Pb1 0.250 0.250 0.750
```


Entry 16:
The following is a GGA-PBE calculation of a geometry-optimized AgTe2Pb structure, from the Alexandria database.

Values from the calculation:
electronic total energy: -3.251 eV/atom
energy relative to the elements, uncorrected: -41 meV per atom

The structure in CIF format:
```
data_AgTe2Pb
_cell_length_a 4.504
_cell_length_b 4.366
_cell_length_c 6.329
_cell_angle_alpha 90.00
_cell_angle_beta 109.65
_cell_angle_gamma 90.00
_space_group_name_H-M_alt 'P 1 2/m 1'
_space_group_IT_number 10
loop_
_space_group_symop_operation_xyz
'x,y,z'
'-x,-y,-z'
'-x,y,-z'
'x,-y,z'
loop_
_atom_site_label
_atom_site_fract_x
_atom_site_fract_y
_atom_site_fract_z
Ag1 0.000 0.000 0.000
Te1 0.214 0.500 0.767
Pb1 0.500 0.000 0.500
```


Entry 17:
The following is a GGA-PBE calculation of a geometry-optimized AgTe2Pb structure, from the Alexandria database.

Values from the calculation:
electronic total energy: -3.313 eV/atom
energy relative to the elements, uncorrected: -102 meV per atom

The structure in CIF format:
```
data_AgTe2Pb
_cell_length_a 4.416
_cell_length_b 4.416
_cell_length_c 6.203
_cell_angle_alpha 90.00
_cell_angle_beta 90.00
_cell_angle_gamma 90.00
_space_group_name_H-M_alt 'P 4/m m m'
_space_group_IT_number 123
_space_group_name_Hall '-P 4 2'
loop_
_atom_site_label
_atom_site_fract_x
_atom_site_fract_y
_atom_site_fract_z
Ag1 0.000 0.000 0.000
Te1 0.000 0.000 0.500
Te2 0.500 0.500 0.000
Pb1 0.500 0.500 0.500
```


Entry 18:
The following is a GGA-PBE calculation of a geometry-optimized AgTePb2 structure, from the Alexandria database.

Values from the calculation:
electronic total energy: -3.234 eV/atom
energy relative to the elements, uncorrected: 119 meV per atom

The structure in CIF format:
```
data_AgTePb2
_cell_length_a 6.977
_cell_length_b 6.977
_cell_length_c 12.932
_cell_angle_alpha 90.00
_cell_angle_beta 90.00
_cell_angle_gamma 90.00
_space_group_name_H-M_alt 'I -4 2 d'
_space_group_IT_number 122
_space_group_name_Hall 'I -4 2bw'
loop_
_atom_site_label
_atom_site_fract_x
_atom_site_fract_y
_atom_site_fract_z
Ag1 0.000 0.000 0.000
Te1 0.000 0.000 0.500
Pb1 0.221 0.250 0.125
```


Entry 19:
The following is a GGA-PBE calculation of a geometry-optimized TmAgTe3Pb structure, from the Alexandria database.

Values from the calculation:
electronic total energy: -4.116 eV/atom
energy relative to the elements, uncorrected: -706 meV per atom

The structure in CIF format:
```
data_TmAgTe3Pb
_cell_length_a 8.841
_cell_length_b 4.354
_cell_length_c 9.973
_cell_angle_alpha 90.00
_cell_angle_beta 104.49
_cell_angle_gamma 90.00
_space_group_name_H-M_alt 'P 1 21/m 1'
_space_group_IT_number 11
loop_
_space_group_symop_operation_xyz
'x,y,z'
'-x,-y,-z'
'-x,y+1/2,-z'
'x,-y+1/2,z'
loop_
_atom_site_label
_atom_site_fract_x
_atom_site_fract_y
_atom_site_fract_z
Tm1 0.179 0.250 0.172
Ag1 0.417 0.750 0.414
Te1 0.071 0.250 0.851
Te2 0.235 0.250 0.485
Te3 0.405 0.750 0.128
Pb1 0.304 0.750 0.747
```


Entry 20:
The following is a GGA-PBE calculation of a geometry-optimized Tm3AgTe8Pb3 structure, from the Alexandria database.

Values from the calculation:
electronic total energy: -4.238 eV/atom
energy relative to the elements, uncorrected: -737 meV per atom

The structure in CIF format:
```
data_Tm3AgTe8Pb3
_cell_length_a 8.8043
_cell_length_b 8.8043
_cell_length_c 22.4807
_cell_angle_alpha 90.00
_cell_angle_beta 90.00
_cell_angle_gamma 120.00
_space_group_name_H-M_alt 'R -3 m'
_space_group_IT_number 166
_space_group_name_Hall '-R 3 2"'
loop_
_atom_site_label
_atom_site_fract_x
_atom_site_fract_y
_atom_site_fract_z
Tm1 0.0000 0.5000 0.0000
Ag1 0.0000 0.0000 0.0000
Te1 0.0000 0.0000 0.2558
Te2 0.0052 0.5026 0.2570
Pb1 0.0000 0.5000 0.5000
```